Compound: MnTlAuF2
Source: Alexandria via LeMat-Bulk
Functional: PBE with a Hubbard U
Structure: optimized geometry

The structure in POSCAR format:
```
MnTlAuF2
1.0
4.1725 0.0000 0.0000
0.0000 4.1725 0.0000
0.0000 0.0000 5.7716
Tl Mn Au F
1 1 1 2
direct
0.5000 0.5000 0.5000
0.0000 0.0000 0.0000
0.0000 0.0000 0.5000
0.0000 0.5000 0.0000
0.5000 0.0000 0.0000
```

Computed properties:
space group	P4/mmm, No. 123
uncorrected energy	-4.79	eV per atom